A relaxed LiAgSeBr2 crystal. Source: Alexandria via LeMat-Bulk, functional PBEsol.

a b c (Å): 5.277 5.277 4.996
angles (deg): 90.00 90.00 90.00
Space group P4/mmm (No. 123)
Inequivalent atoms, fractional coordinates:
Li (0.000, 0.000, 0.000) [1 per cell]
Ag (0.500, 0.500, 0.500) [1 per cell]
Se (0.500, 0.500, 0.000) [1 per cell]
Br (0.000, 0.500, 0.500) [2 per cell]

## Properties
**ΔE_f (raw)**: -1.02 eV per formula unit
**E above lowest polymorph**: 0.0 meV/atom
**Calculated total energy**: -2.78 eV/atom


A relaxed Hf2CrAuBr crystal. Source: Alexandria via LeMat-Bulk, functional PBEsol.

a b c (Å): 5.106 5.106 5.211
angles (deg): 90.00 90.00 90.00
Space group P4/mmm (No. 123)
Inequivalent atoms, fractional coordinates:
Hf (0.000, 0.500, 0.000) [2 per cell]
Cr (0.000, 0.000, 0.500) [1 per cell]
Au (0.500, 0.500, 0.000) [1 per cell]
Br (0.500, 0.500, 0.500) [1 per cell]

## Properties
**ΔE_f (raw)**: 6.64 eV per formula unit
**Calculated total energy**: -6.08 eV/atom


A relaxed SrZrAs2 crystal. Source: Alexandria via LeMat-Bulk, functional PBEsol.

a b c (Å): 3.414 3.543 7.345
angles (deg): 90.00 96.84 90.00
Space group P2/m (No. 10)
Inequivalent atoms, fractional coordinates:
Sr (0.000, 0.000, 0.000) [1 per cell]
Zr (0.000, 0.000, 0.500) [1 per cell]
As (0.486, 0.500, 0.711) [2 per cell]

## Properties
**E above lowest polymorph**: 269.9 meV/atom
**Energy of formation from the pure elements**: -0.900 eV per atom
**Calculated total energy**: -6.19 eV/atom


A relaxed AgOsPt2I crystal. Source: Alexandria via LeMat-Bulk, functional PBEsol.

a b c (Å): 4.767 4.767 5.289
angles (deg): 90.00 90.00 90.00
Space group P4/mmm (No. 123)
Inequivalent atoms, fractional coordinates:
Ag (0.000, 0.000, 0.000) [1 per cell]
Os (0.500, 0.500, 0.500) [1 per cell]
Pt (0.000, 0.500, 0.500) [2 per cell]
I (0.500, 0.500, 0.000) [1 per cell]

## Properties
**ΔE_f (raw)**: 6.70 eV per formula unit
**Calculated total energy**: -4.90 eV/atom


A relaxed GaIrO2F crystal. Source: Alexandria via LeMat-Bulk, functional PBEsol.

a b c (Å): 3.655 3.655 6.577
angles (deg): 90.00 90.00 90.00
Space group P4/mmm (No. 123)
Inequivalent atoms, fractional coordinates:
Ga (0.000, 0.000, 0.000) [1 per cell]
Ir (0.500, 0.500, 0.500) [1 per cell]
O (0.000, 0.500, 0.500) [2 per cell]
F (0.500, 0.500, 0.000) [1 per cell]

## Properties
**ΔE_f (raw)**: -3.56 eV per formula unit
**Calculated total energy**: -5.83 eV/atom


A relaxed KScPb2 crystal. Source: Alexandria via LeMat-Bulk, functional PBEsol.

a b c (Å): 4.911 4.911 9.002
angles (deg): 90.00 90.00 90.00
Space group I4/mmm (No. 139)
Inequivalent atoms, fractional coordinates:
K (0.000, 0.000, 0.000) [2 per cell]
Sc (0.000, 0.000, 0.500) [2 per cell]
Pb (0.000, 0.500, 0.250) [4 per cell]

## Properties
**E above lowest polymorph**: 219.6 meV/atom
**Energy of formation from the pure elements**: -0.084 eV per atom
**Calculated total energy**: -4.02 eV/atom